[1]
VASP calculation (PBE-GGA) on CaDyGa2Pd2 after structural relaxation.

```
6
Lattice="-3.938 0.444 -2.049 0.179 -0.299 4.448 0.578 7.281 0.466" Properties=species:S:1:pos:R:3 pbc="T T T"
Ca 0.000 0.000 0.000
Dy 0.289 3.641 0.233
Ga -0.769 5.287 2.624
Ga -2.412 2.139 0.241
Pd -1.033 1.963 2.411
Pd -2.148 5.463 0.454
```

Properties
DOS at the Fermi energy   0.469 states/eV/atom
Formation energy   -0.7877 eV/atom

***

[2]
VASP calculation (PBE-GGA) on NdTlInPt after structural relaxation.

```
4
Lattice="-1.007 -1.838 -4.670 -1.683 -4.803 -0.553 -4.841 -0.868 -1.420" Properties=species:S:1:pos:R:3 pbc="T T T"
Tl -3.765 -3.754 -3.321
Nd -1.883 -1.877 -1.661
Pt 0.000 0.000 0.000
In -5.648 -5.632 -4.982
```

Properties
DOS at the Fermi energy   0.671 states/eV/atom
Formation energy   -0.4938 eV/atom

***

[3]
VASP calculation (PBE-GGA) on LiNiPdRh after structural relaxation.

```
4
Lattice="-0.684 -3.315 2.477 -1.989 -3.371 -1.508 2.110 -3.568 -0.641" Properties=species:S:1:pos:R:3 pbc="T T T"
Ni -0.141 -2.563 0.082
Rh 0.000 0.000 0.000
Pd -0.282 -5.127 0.164
Li -0.423 -7.690 0.246
```

Properties
DOS at the Fermi energy   0.671 states/eV/atom
Formation energy   -0.0748 eV/atom

***

[4]
VASP calculation (PBE-GGA) on K2BaCa after structural relaxation.

```
8
Lattice="-0.423 -5.340 -1.890 2.479 1.530 -4.877 14.874 -5.134 2.641" Properties=species:S:1:pos:R:3 pbc="T T T"
K 3.770 -4.360 -1.106
K 5.209 -1.064 -2.648
K 11.959 -5.259 -0.620
K 12.922 -7.204 -3.877
Ca 1.028 -1.905 -3.383
Ca 9.190 -2.754 -2.809
Ba 0.000 0.000 0.000
Ba 7.740 -6.189 -1.316
```

Properties
DOS at the Fermi energy   1.015 states/eV/atom
Formation energy   0.2490 eV/atom
Energy relative to the lowest polymorph listed for this composition   163.1 meV/atom

***

[5]
VASP calculation (PBE-GGA) on Ti3VSb after structural relaxation.

```
20
Lattice="-1.751 6.483 1.228 -2.233 -1.862 6.649 6.437 1.143 3.150" Properties=species:S:1:pos:R:3 pbc="T T T"
Ti 3.298 3.531 9.274
Ti -0.506 5.895 1.875
Ti -0.846 2.232 1.752
Ti 2.959 -0.131 9.151
Ti -1.619 3.838 3.890
Ti 0.298 4.163 8.919
Ti 4.071 1.925 7.136
Ti 2.154 1.601 2.107
Ti 2.080 3.740 6.433
Ti 0.712 5.686 4.716
Ti 0.372 2.024 4.593
Ti 1.740 0.077 6.310
V 2.595 5.926 8.062
V 1.157 3.832 2.700
V -0.143 -0.163 2.964
V 1.295 1.931 8.326
Sb -1.097 0.304 6.321
Sb 3.550 5.459 4.706
Sb 3.238 1.807 4.571
Sb -0.786 3.957 6.455
```

Properties
DOS at the Fermi energy   1.110 states/eV/atom
Energy relative to the lowest polymorph listed for this composition   0.0 meV/atom
ΔE_f (raw)   -0.0027 eV/atom

***

[6]
VASP calculation (PBE-GGA) on ReSiAg after structural relaxation.

```
3
Lattice="-4.181 2.564 -2.299 -4.084 -1.696 -3.128 2.931 -0.805 4.483" Properties=species:S:1:pos:R:3 pbc="T T T"
Ag -8.219 0.863 -5.398
Re -5.749 0.603 -3.776
Si -2.561 0.269 -1.682
```

Properties
DOS at the Fermi energy   0.724 states/eV/atom
Energy relative to the lowest polymorph listed for this composition   99.9 meV/atom
ΔE_f (raw)   0.3885 eV/atom

***

[7]
VASP calculation (PBE-GGA) on EuHfGe2 after structural relaxation.

```
4
Lattice="-2.386 -2.854 1.594 -0.298 -3.619 -1.788 4.327 -4.436 3.676" Properties=species:S:1:pos:R:3 pbc="T T T"
Eu 0.821 -5.454 1.741
Ge 0.205 -2.637 0.723
Ge 1.438 -8.271 2.759
Hf 0.000 0.000 0.000
```

Properties
DOS at the Fermi energy   2.500 states/eV/atom
Formation energy   -0.4602 eV/atom

***

[8]
VASP calculation (PBE-GGA) on FeCo6Tc after structural relaxation.

```
32
Lattice="6.157 0.001 0.000 -2.041 5.809 0.000 0.000 0.000 10.051" Properties=species:S:1:pos:R:3 pbc="T T T"
Co 0.003 4.360 5.024
Co 4.110 3.637 6.286
Co 0.006 2.173 6.286
Co 4.113 1.449 5.024
Co 2.048 0.726 6.286
Co 2.068 5.083 6.286
Co 2.058 2.905 2.513
Co -0.005 2.177 3.762
Co 2.055 0.717 3.762
Co 0.003 4.360 0.001
Co 4.121 3.633 1.263
Co -0.005 2.177 1.263
Co 4.113 1.449 0.001
Co 2.055 0.717 1.263
Co 2.060 5.093 1.263
Co 2.058 2.905 7.539
Co 0.006 2.173 8.791
Co 2.048 0.726 8.791
Co 0.000 0.000 2.513
Co 2.060 5.093 3.762
Co 4.121 3.633 3.762
Co 0.000 0.000 7.539
Co 2.068 5.083 8.791
Co 4.110 3.637 8.791
Fe 0.011 4.355 2.513
Fe 4.105 1.455 2.513
Fe 0.000 0.000 5.003
Fe 0.000 0.000 0.022
Tc 0.031 4.341 7.539
Tc 4.085 1.469 7.539
Tc 2.058 2.905 4.999
Tc 2.058 2.905 0.027
```

Properties
DOS at the Fermi energy   1.157 states/eV/atom
Formation energy   0.0613 eV/atom

***

[9]
VASP calculation (PBE-GGA) on MoAuCl2 after structural relaxation.

```
4
Lattice="2.971 0.000 0.000 0.000 2.971 0.000 0.000 0.000 9.749" Properties=species:S:1:pos:R:3 pbc="T T T"
Mo 1.486 1.486 2.437
Au 1.486 1.486 7.312
Cl 0.000 0.000 0.942
Cl 0.000 0.000 3.933
```

Properties
DOS at the Fermi energy   0.717 states/eV/atom
Energy relative to the lowest polymorph listed for this composition   387.0 meV/atom
ΔE_f (raw)   0.1929 eV/atom

***

[10]
VASP calculation (PBE-GGA) on HfHN2F after structural relaxation.

```
5
Lattice="3.312 0.000 0.000 0.000 3.312 0.000 0.000 0.000 3.577" Properties=species:S:1:pos:R:3 pbc="T T T"
H 0.000 0.000 0.000
N 0.000 1.656 0.000
N 1.656 0.000 0.000
Hf 1.656 1.656 1.788
F 0.000 0.000 1.788
```

Properties
DOS at the Fermi energy   0.367 states/eV/atom
Energy relative to the lowest polymorph listed for this composition   0.0 meV/atom

***

[11]
VASP calculation (PBE-GGA) on CuRh after structural relaxation.

```
12
Lattice="-1.328 4.165 0.405 -1.754 0.196 -7.761 -4.238 -1.441 0.922" Properties=species:S:1:pos:R:3 pbc="T T T"
Cu -5.692 1.035 -5.505
Cu -4.516 0.903 -0.301
Cu -2.696 1.657 -2.085
Cu -3.274 1.722 -4.642
Cu -4.209 -1.432 0.915
Cu -2.968 -0.613 -3.426
Rh -4.796 -1.367 -1.674
Rh -5.380 -1.302 -4.256
Rh -3.555 -0.548 -6.015
Rh -2.384 -0.679 -0.836
Rh -2.105 1.593 0.516
Rh -5.101 0.970 -2.904
```

Properties
DOS at the Fermi energy   1.563 states/eV/atom
Formation energy   0.0834 eV/atom

***

[12]
VASP calculation (PBE-GGA) on BaTaIn2 after structural relaxation.

```
4
Lattice="-2.334 -2.092 0.818 2.195 -1.871 1.475 -1.447 4.873 8.336" Properties=species:S:1:pos:R:3 pbc="T T T"
Ba -1.155 1.673 7.399
In -0.057 0.192 0.329
In -0.666 2.244 3.839
Ta -0.431 -0.763 3.231
```

Properties
DOS at the Fermi energy   1.068 states/eV/atom
Formation energy   0.1640 eV/atom
Energy relative to the lowest polymorph listed for this composition   0.0 meV/atom